! Li7Mn2Co3O12 GGA+U optimized geometry; values from VASP
&SYSTEM
  ibrav = 0, nat = 24, ntyp = 4
/
ATOMIC_SPECIES
Li 6.94 Li.upf
Mn 54.94 Mn.upf
Co 58.93 Co.upf
O 16.00 O.upf
CELL_PARAMETERS angstrom
2.900 0.006 0.001
0.204 5.893 -0.013
0.234 2.884 12.486
ATOMIC_POSITIONS crystal
Li 0.999 0.184 0.648
Li 0.500 0.000 0.500
Li 0.500 0.334 0.834
Li 0.000 0.500 0.000
Li 0.500 0.666 0.166
Li 0.001 0.816 0.352
Li 0.500 0.500 0.500
Mn 0.990 0.668 0.658
Mn 0.010 0.332 0.342
Co 0.516 0.167 0.165
Co 0.000 0.000 0.000
Co 0.484 0.833 0.835
O 0.476 0.893 0.669
O 0.998 0.744 0.513
O 0.001 0.065 0.842
O 0.540 0.237 0.003
O 0.028 0.395 0.176
O 0.497 0.556 0.333
O 0.503 0.444 0.667
O 0.002 0.256 0.487
O 0.972 0.605 0.824
O 0.460 0.763 0.997
O 0.999 0.935 0.158
O 0.524 0.107 0.331
! magnetic moment = 15.98 μB/f.u.
! V = 8.89 Å³/atom
! E above lowest polymorph = 48 meV/atom